# 1
Density functional theory data (GGA-PBE) for a relaxed Cs2HgBiO4 crystal.

Values from the calculation:
Calculated total energy in eV per atom: -4.055
Total magnetization in μB/f.u.: 0.96
Density of states at the Fermi level in states/eV per cell: 4.33

abc: 12.512 10.898 7.596
angles: 83.10 59.84 37.06
Positions (direct):
Cs1 0.057 0.057 0.693
Cs2 0.307 0.307 0.943
Cs3 0.693 0.693 0.057
Cs4 0.943 0.943 0.307
Hg1 0.125 0.125 0.125
Hg2 0.875 0.875 0.875
Bi1 0.375 0.375 0.375
Bi2 0.625 0.625 0.625
O1 0.005 0.658 0.558
O2 0.279 0.558 0.658
O3 0.342 0.995 0.721
O4 0.442 0.721 0.995
O5 0.558 0.279 0.005
O6 0.658 0.005 0.279
O7 0.721 0.442 0.342
O8 0.995 0.342 0.442

# 2
Density functional theory data (GGA-PBE) for a relaxed Zn2TeAu crystal.

Values from the calculation:
Calculated total energy in eV per atom: -2.106
Total magnetization in μB/f.u.: 0.00
Density of states at the Fermi level in states/eV per cell: 1.95

abc: 3.037 3.037 9.055
angles: 90.00 90.00 90.00
Positions (direct):
Zn1 0.000 0.000 0.000
Zn2 0.500 0.500 0.189
Te1 0.500 0.500 0.701
Au1 0.000 0.000 0.375

# 3
Density functional theory data (GGA-PBE) for a relaxed RbNaGe crystal.

Values from the calculation:
Calculated total energy in eV per atom: -2.363
Total magnetization in μB/f.u.: 0.00
Density of states at the Fermi level in states/eV per cell: 4.42

abc: 8.425 8.425 8.634
angles: 90.00 90.00 131.07
Positions (direct):
Rb1 0.191 0.809 0.907
Rb2 0.309 0.691 0.407
Rb3 0.691 0.309 0.593
Rb4 0.809 0.191 0.093
Na1 0.216 0.284 0.750
Na2 0.284 0.216 0.250
Na3 0.716 0.784 0.750
Na4 0.784 0.716 0.250
Ge1 0.080 0.920 0.523
Ge2 0.420 0.580 0.023
Ge3 0.580 0.420 0.977
Ge4 0.920 0.080 0.477

# 4
Density functional theory data (GGA-PBE) for a relaxed Li3ZnHg5 crystal.

Values from the calculation:
Calculated total energy in eV per atom: -1.175
Total magnetization in μB/f.u.: 0.00
Density of states at the Fermi level in states/eV per cell: 5.98

abc: 8.433 8.433 5.809
angles: 90.00 90.00 120.00
Positions (direct):
Li1 0.000 0.369 0.250
Li2 0.000 0.631 0.750
Li3 0.369 0.000 0.250
Li4 0.369 0.369 0.750
Li5 0.631 0.000 0.750
Li6 0.631 0.631 0.250
Zn1 0.000 0.000 0.000
Zn2 0.000 0.000 0.500
Hg1 0.000 0.295 0.750
Hg2 0.000 0.705 0.250
Hg3 0.295 0.000 0.750
Hg4 0.295 0.295 0.250
Hg5 0.333 0.667 0.000
Hg6 0.333 0.667 0.500
Hg7 0.667 0.333 0.000
Hg8 0.667 0.333 0.500
Hg9 0.705 0.000 0.250
Hg10 0.705 0.705 0.750

What is the formula in the fourth record?
Li3ZnHg5